[1]
## ScW (PBE)

Data for a geometry-optimized ScW structure.

Output
Total DFT energy (no corrections): -9.234 eV per atom
Formation energy from the elements: 0.408 eV per atom

Cell lengths 2.9294, 2.9294, 4.9719 Å; angles 90.00, 90.00, 120.00 degrees
Space group P-6m2 (No. 187)
Inequivalent atoms, fractional coordinates:
Sc  0.0000  0.0000  0.0000 [1 per cell]
W  0.3333  0.6667  0.5000 [1 per cell]

[2]
## Sc3W (PBE)

Data for a geometry-optimized Sc3W structure.

Output
Total DFT energy (no corrections): -7.761 eV per atom
Formation energy from the elements: 0.226 eV per atom

Cell lengths 3.5843, 4.7561, 9.9498 Å; angles 90.00, 90.00, 90.00 degrees
Space group Cmmm (No. 65)
Inequivalent atoms, fractional coordinates:
Sc  0.0000  0.0000  0.0000 [2 per cell]
Sc  0.0000  0.5000  0.2802 [4 per cell]
W  0.0000  0.0000  0.5000 [2 per cell]

[3]
## ScW3 (PBE)

Data for a geometry-optimized ScW3 structure.

Output
Total DFT energy (no corrections): -11.094 eV per atom
Formation energy from the elements: 0.204 eV per atom

Cell lengths 6.4551, 6.4551, 6.4551 Å; angles 90.00, 90.00, 90.00 degrees
Space group Fm-3m (No. 225)
Inequivalent atoms, fractional coordinates:
Sc  0.0000  0.0000  0.0000 [4 per cell]
W  0.0000  0.0000  0.5000 [4 per cell]
W  0.2500  0.2500  0.2500 [8 per cell]

[4]
## Sc5W4 (PBE)

Data for a geometry-optimized Sc5W4 structure.

Output
Total DFT energy (no corrections): -8.996 eV per atom
Formation energy from the elements: 0.279 eV per atom

Cell lengths 10.1451, 10.1451, 3.3799 Å; angles 90.00, 90.00, 90.00 degrees
Space group I4/mmm (No. 139)
Inequivalent atoms, fractional coordinates:
Sc  0.0000  0.0000  0.0000 [2 per cell]
Sc  0.1671  0.1671  0.5000 [8 per cell]
W  0.0000  0.3524  0.0000 [8 per cell]

[5]
## ScW2 (PBE)

Data for a geometry-optimized ScW2 structure.

Output
Total DFT energy (no corrections): -9.663 eV per atom
Formation energy from the elements: 1.083 eV per atom

Cell lengths 6.5132, 6.5132, 5.1242 Å; angles 90.00, 90.00, 90.00 degrees
Space group I4/mcm (No. 140)
Inequivalent atoms, fractional coordinates:
Sc  0.0000  0.0000  0.2500 [4 per cell]
W  0.1382  0.3618  0.0000 [8 per cell]

[6]
## Sc5W3 (PBE)

Data for a geometry-optimized Sc5W3 structure.

Output
Total DFT energy (no corrections): -8.391 eV per atom
Formation energy from the elements: 0.424 eV per atom

Cell lengths 8.2438, 8.2438, 5.5686 Å; angles 90.00, 90.00, 120.00 degrees
Space group P6_3/mcm (No. 193)
Inequivalent atoms, fractional coordinates:
Sc  0.0000  0.2529  0.2500 [6 per cell]
Sc  0.3333  0.6667  0.0000 [4 per cell]
W  0.0000  0.4121  0.7500 [6 per cell]

[7]
## Sc5W3 (PBE)

Data for a geometry-optimized Sc5W3 structure.

Output
Total DFT energy (no corrections): -8.557 eV per atom
Formation energy from the elements: 0.258 eV per atom

Cell lengths 9.4067, 9.6583, 3.5172 Å; angles 90.00, 90.00, 90.00 degrees
Space group Cmmm (No. 65)
Inequivalent atoms, fractional coordinates:
Sc  0.0000  0.0000  0.0000 [2 per cell]
Sc  0.0000  0.2644  0.5000 [4 per cell]
Sc  0.2500  0.2500  0.0000 [4 per cell]
W  0.0000  0.5000  0.0000 [2 per cell]
W  0.2135  0.5000  0.5000 [4 per cell]

[8]
## Sc2W (PBE)

Data for a geometry-optimized Sc2W structure.

Output
Total DFT energy (no corrections): -8.259 eV per atom
Formation energy from the elements: 0.279 eV per atom

Cell lengths 2.8770, 4.6321, 8.8708 Å; angles 90.00, 90.00, 90.00 degrees
Space group Immm (No. 71)
Inequivalent atoms, fractional coordinates:
Sc  0.0000  0.0000  0.1611 [4 per cell]
W  0.0000  0.0000  0.5000 [2 per cell]

[9]
## ScW2 (PBE)

Data for a geometry-optimized ScW2 structure.

Output
Total DFT energy (no corrections): -10.576 eV per atom
Formation energy from the elements: 0.170 eV per atom

Cell lengths 3.2560, 3.2560, 10.1882 Å; angles 90.00, 90.00, 90.00 degrees
Space group I4/mmm (No. 139)
Inequivalent atoms, fractional coordinates:
Sc  0.0000  0.0000  0.0000 [2 per cell]
W  0.0000  0.0000  0.3146 [4 per cell]

[10]
## ScW3 (PBE)

Data for a geometry-optimized ScW3 structure.

Output
Total DFT energy (no corrections): -10.767 eV per atom
Formation energy from the elements: 0.531 eV per atom

Cell lengths 2.8358, 2.8358, 9.9690 Å; angles 90.00, 90.00, 120.00 degrees
Space group P-6m2 (No. 187)
Inequivalent atoms, fractional coordinates:
Sc  0.0000  0.0000  0.0000 [1 per cell]
W  0.0000  0.0000  0.5000 [1 per cell]
W  0.3333  0.6667  0.2559 [2 per cell]

[11]
## ScW (PBE)

Data for a geometry-optimized ScW structure.

Output
Total DFT energy (no corrections): -9.441 eV per atom
Formation energy from the elements: 0.201 eV per atom

Cell lengths 6.6342, 6.6342, 6.6342 Å; angles 90.00, 90.00, 90.00 degrees
Space group Fd-3m (No. 227, origin choice 2)
Inequivalent atoms, fractional coordinates:
Sc  0.1250  0.1250  0.1250 [8 per cell]
W  0.1250  0.1250  0.6250 [8 per cell]

[12]
## ScW3 (PBE)

Data for a geometry-optimized ScW3 structure.

Output
Total DFT energy (no corrections): -10.932 eV per atom
Formation energy from the elements: 0.366 eV per atom

Cell lengths 5.3826, 9.4102, 2.7136 Å; angles 90.00, 90.00, 90.00 degrees
Space group Cmmm (No. 65)
Inequivalent atoms, fractional coordinates:
Sc  0.0000  0.0000  0.0000 [2 per cell]
W  0.0000  0.5000  0.0000 [2 per cell]
W  0.2500  0.2500  0.5000 [4 per cell]

[13]
## ScW3 (PBE)

Data for a geometry-optimized ScW3 structure.

Output
Total DFT energy (no corrections): -10.788 eV per atom
Formation energy from the elements: 0.510 eV per atom

Cell lengths 6.1125, 6.1125, 4.5082 Å; angles 90.00, 90.00, 120.00 degrees
Space group P6_3/mmc (No. 194)
Inequivalent atoms, fractional coordinates:
Sc  0.3333  0.6667  0.2500 [2 per cell]
W  0.1480  0.2960  0.7500 [6 per cell]

[14]
## ScW (PBE)

Data for a geometry-optimized ScW structure.

Output
Total DFT energy (no corrections): -7.769 eV per atom
Formation energy from the elements: 1.874 eV per atom

Cell lengths 8.4586, 8.4586, 8.4586 Å; angles 90.00, 90.00, 90.00 degrees
Space group I-43m (No. 217)
Inequivalent atoms, fractional coordinates:
Sc  0.2101  0.2101  0.2101 [8 per cell]
W  0.1058  0.1058  0.8942 [8 per cell]

[15]
## Sc3W (PBE)

Data for a geometry-optimized Sc3W structure.

Output
Total DFT energy (no corrections): -7.813 eV per atom
Formation energy from the elements: 0.174 eV per atom

Cell lengths 4.8899, 6.2390, 5.4238 Å; angles 90.00, 90.00, 90.00 degrees
Space group Pmmn (No. 59, origin choice 2)
Inequivalent atoms, fractional coordinates:
Sc  0.2500  0.0022  0.1705 [4 per cell]
Sc  0.2500  0.2500  0.6514 [2 per cell]
W  0.2500  0.7500  0.6862 [2 per cell]

[16]
## Sc3W2 (PBE)

Data for a geometry-optimized Sc3W2 structure.

Output
Total DFT energy (no corrections): -8.604 eV per atom
Formation energy from the elements: 0.376 eV per atom

Cell lengths 10.2533, 15.5633, 4.9564 Å; angles 90.00, 90.00, 90.00 degrees
Space group Fdd2 (No. 43)
Inequivalent atoms, fractional coordinates:
Sc  0.0000  0.0000  0.0000 [8 per cell]
Sc  0.0209  0.3958  0.0024 [16 per cell]
W  0.0094  0.2884  0.5227 [16 per cell]

[17]
## Sc2W3 (PBE)

Data for a geometry-optimized Sc2W3 structure.

Output
Total DFT energy (no corrections): -9.860 eV per atom
Formation energy from the elements: 0.444 eV per atom

Cell lengths 3.0315, 3.0315, 34.6085 Å; angles 90.00, 90.00, 120.00 degrees
Space group R-3m (No. 166, hexagonal axes)
Inequivalent atoms, fractional coordinates:
Sc  0.0000  0.0000  0.0966 [6 per cell]
W  0.0000  0.0000  0.3057 [6 per cell]
W  0.0000  0.0000  0.5000 [3 per cell]

[18]
## ScW3 (PBE)

Data for a geometry-optimized ScW3 structure.

Output
Total DFT energy (no corrections): -11.061 eV per atom
Formation energy from the elements: 0.237 eV per atom

Cell lengths 6.5890, 9.1248, 4.5228 Å; angles 90.00, 90.00, 90.00 degrees
Space group Cmcm (No. 63)
Inequivalent atoms, fractional coordinates:
Sc  0.0000  0.1191  0.2500 [4 per cell]
W  0.0000  0.3730  0.7500 [4 per cell]
W  0.2342  0.3726  0.2500 [8 per cell]

[19]
## ScW3 (PBE)

Data for a geometry-optimized ScW3 structure.

Output
Total DFT energy (no corrections): -10.806 eV per atom
Formation energy from the elements: 0.492 eV per atom

Cell lengths 4.7400, 5.3272, 5.4934 Å; angles 90.00, 90.00, 90.00 degrees
Space group Pmmn (No. 59, origin choice 2)
Inequivalent atoms, fractional coordinates:
Sc  0.2500  0.2500  0.1326 [2 per cell]
W  0.2500  0.5008  0.6348 [4 per cell]
W  0.2500  0.7500  0.1652 [2 per cell]

[20]
## Sc3W (PBE)

Data for a geometry-optimized Sc3W structure.

Output
Total DFT energy (no corrections): -7.763 eV per atom
Formation energy from the elements: 0.224 eV per atom

Cell lengths 6.1994, 6.1994, 9.9488 Å; angles 90.00, 90.00, 120.00 degrees
Space group P6_3/mmc (No. 194)
Inequivalent atoms, fractional coordinates:
Sc  0.0000  0.5000  0.0000 [6 per cell]
Sc  0.1629  0.3258  0.2500 [6 per cell]
W  0.0000  0.0000  0.0000 [2 per cell]
W  0.3333  0.6667  0.7500 [2 per cell]